(1)
Entry from Alexandria: crystalline Pr3TmAu2 at its relaxed geometry (PBE-GGA).

Properties
Energy relative to the elements ... -540 meV per atom
Crystal system ... orthorhombic
N(E_F) ... 12.3 states/eV per cell
Size of the total moment ... 0.00 μB/f.u.
Volume ... 28.81 Å³/atom

a = 5.1302 Å, b = 9.3720 Å, c = 7.1893 Å
α = 90.00°, β = 90.00°, γ = 90.00°
Positions (direct):
Pr 0.0000 0.0750 0.0000
Pr 0.0000 0.3387 0.3536
Pr 0.0000 0.6613 0.8536
Pr 0.0000 0.9250 0.5000
Pr 0.5000 0.1664 0.6586
Pr 0.5000 0.8336 0.1586
Tm 0.5000 0.4255 0.0123
Tm 0.5000 0.5745 0.5123
Au 0.0000 0.3507 0.7772
Au 0.0000 0.6493 0.2772
Au 0.5000 0.1615 0.2359
Au 0.5000 0.8385 0.7359

(2)
Entry from Alexandria: crystalline Sc2InTc at its relaxed geometry (PBE-GGA).

Properties
Energy relative to the elements ... -186 meV per atom
Crystal system ... monoclinic
N(E_F) ... 4.3 states/eV per cell
Size of the total moment ... 0.00 μB/f.u.
Volume ... 19.90 Å³/atom

a = 5.6510 Å, b = 5.6510 Å, c = 4.6880 Å
α = 114.42°, β = 114.42°, γ = 36.19°
Positions (direct):
Sc 0.0000 0.0000 0.0000
Sc 0.2227 0.2227 0.7241
In 0.4534 0.4534 0.4531
Tc 0.7223 0.7223 0.2255

(3)
Entry from Alexandria: crystalline NaIn5Ga2 at its relaxed geometry (PBE-GGA).

Properties
Energy relative to the elements ... -3 meV per atom
Crystal system ... orthorhombic
N(E_F) ... 3.0 states/eV per cell
Size of the total moment ... 0.00 μB/f.u.
Volume ... 26.90 Å³/atom

a = 7.2461 Å, b = 7.2461 Å, c = 7.2461 Å
α = 142.87°, β = 103.77°, γ = 87.98°
Positions (direct):
Na 0.0000 0.0000 0.0000
In 0.1584 0.3496 0.8089
In 0.4593 0.6504 0.8089
In 0.5000 0.0000 0.5000
In 0.5407 0.3496 0.1911
In 0.8416 0.6504 0.1911
Ga 0.2287 0.7287 0.5000
Ga 0.7713 0.2713 0.5000

(4)
Entry from Alexandria: crystalline Hf2TiV at its relaxed geometry (PBE-GGA).

Properties
Energy relative to the elements ... 226 meV per atom
Crystal system ... monoclinic
N(E_F) ... 5.4 states/eV per cell
Relative energy among the computed polymorphs ... 135 meV per atom
Size of the total moment ... 1.13 μB/f.u.
Volume ... 19.17 Å³/atom

a = 3.1230 Å, b = 3.1230 Å, c = 9.7070 Å
α = 103.18°, β = 103.18°, γ = 57.00°
Positions (direct):
Hf 0.0000 0.0000 0.0000
Hf 0.2384 0.2384 0.5185
Ti 0.4271 0.4271 0.2584
V 0.6163 0.6163 0.7596

(5)
Entry from Alexandria: crystalline Ni10B3Sb at its relaxed geometry (PBE-GGA).

Properties
Crystal system ... cubic
Formation energy (no corrections) ... -3.4 eV per formula unit
N(E_F) ... 12.2 states/eV per cell
Size of the total moment ... 0.00 μB/f.u.
Volume ... 10.53 Å³/atom

a = 7.4699 Å, b = 7.4699 Å, c = 7.4699 Å
α = 60.00°, β = 60.00°, γ = 60.00°
Positions (direct):
Ni 0.0000 0.0000 0.3323
Ni 0.0000 0.0000 0.6677
Ni 0.0000 0.3323 0.0000
Ni 0.0000 0.3323 0.6677
Ni 0.0000 0.6677 0.0000
Ni 0.0000 0.6677 0.3323
Ni 0.1528 0.6157 0.6157
Ni 0.3323 0.0000 0.0000
Ni 0.3323 0.0000 0.6677
Ni 0.3323 0.6677 0.0000
Ni 0.3843 0.3843 0.3843
Ni 0.3843 0.3843 0.8472
Ni 0.3843 0.8472 0.3843
Ni 0.6157 0.1528 0.6157
Ni 0.6157 0.6157 0.1528
Ni 0.6157 0.6157 0.6157
Ni 0.6677 0.0000 0.0000
Ni 0.6677 0.0000 0.3323
Ni 0.6677 0.3323 0.0000
Ni 0.8472 0.3843 0.3843
B 0.2713 0.2713 0.7287
B 0.2713 0.7287 0.2713
B 0.2713 0.7287 0.7287
B 0.7287 0.2713 0.2713
B 0.7287 0.2713 0.7287
B 0.7287 0.7287 0.2713
Sb 0.2500 0.2500 0.2500
Sb 0.7500 0.7500 0.7500

(6)
Entry from Alexandria: crystalline HgPOs2 at its relaxed geometry (PBE-GGA).

Properties
Energy relative to the elements ... 646 meV per atom
Crystal system ... orthorhombic
N(E_F) ... 4.1 states/eV per cell
Relative energy among the computed polymorphs ... 355 meV per atom
Size of the total moment ... 0.44 μB/f.u.
Volume ... 18.09 Å³/atom

a = 2.7771 Å, b = 2.7771 Å, c = 10.7524 Å
α = 90.00°, β = 90.00°, γ = 119.22°
Positions (direct):
Hg 0.0000 0.0000 0.0000
P 0.5000 0.5000 0.6508
Os 0.0000 0.0000 0.4714
Os 0.5000 0.5000 0.2588

(7)
Entry from Alexandria: crystalline NdDy2Hg at its relaxed geometry (PBE-GGA).

Properties
Energy relative to the elements ... -172 meV per atom
Crystal system ... trigonal
N(E_F) ... 3.5 states/eV per cell
Relative energy among the computed polymorphs ... 60 meV per atom
Size of the total moment ... 0.00 μB/f.u.
Volume ... 30.55 Å³/atom

a = 10.8472 Å, b = 10.8472 Å, c = 10.8472 Å
α = 19.33°, β = 19.33°, γ = 19.33°
Positions (direct):
Nd 0.0000 0.0000 0.0000
Dy 0.2414 0.2414 0.2414
Dy 0.7586 0.7586 0.7586
Hg 0.5000 0.5000 0.5000

(8)
Entry from Alexandria: crystalline Hf2TiOsI at its relaxed geometry (PBE-GGA).

Properties
Crystal system ... tetragonal
Formation energy (no corrections) ... 1.9 eV per formula unit
N(E_F) ... 3.7 states/eV per cell
Size of the total moment ... 0.00 μB/f.u.
Volume ... 25.06 Å³/atom

a = 5.1008 Å, b = 5.1008 Å, c = 4.8153 Å
α = 90.00°, β = 90.00°, γ = 90.00°
Positions (direct):
Hf 0.0000 0.5000 0.0000
Hf 0.5000 0.0000 0.0000
Ti 0.0000 0.0000 0.5000
Os 0.0000 0.0000 0.0000
I 0.5000 0.5000 0.5000

(9)
Entry from Alexandria: crystalline TaPbSe at its relaxed geometry (PBE-GGA).

Properties
Crystal system ... triclinic
Formation energy (no corrections) ... -0.6 eV per formula unit
N(E_F) ... 1.5 states/eV per cell
Relative energy among the computed polymorphs ... 0 meV per atom
Size of the total moment ... 0.00 μB/f.u.
Volume ... 24.79 Å³/atom

a = 3.2982 Å, b = 5.3204 Å, c = 8.6911 Å
α = 97.55°, β = 100.21°, γ = 90.04°
Positions (direct):
Ta 0.2474 0.2403 0.4948
Ta 0.7526 0.7597 0.5052
Pb 0.1064 0.8462 0.1895
Pb 0.8936 0.1538 0.8105
Se 0.3520 0.6240 0.7187
Se 0.6480 0.3760 0.2813

(10)
Entry from Alexandria: crystalline GaAgPd2 at its relaxed geometry (PBE-GGA).

Properties
Energy relative to the elements ... -250 meV per atom
Crystal system ... trigonal
N(E_F) ... 1.4 states/eV per cell
Size of the total moment ... 0.00 μB/f.u.
Volume ... 17.30 Å³/atom

a = 5.0254 Å, b = 5.0254 Å, c = 5.0254 Å
α = 50.31°, β = 50.31°, γ = 50.31°
Positions (direct):
Ga 0.0000 0.0000 0.0000
Ag 0.8004 0.8004 0.8004
Pd 0.3597 0.3597 0.3597
Pd 0.5834 0.5834 0.5834

(11)
Entry from Alexandria: crystalline Re2PbBr at its relaxed geometry (PBE-GGA).

Properties
Crystal system ... monoclinic
Formation energy (no corrections) ... 1.2 eV per formula unit
N(E_F) ... 3.1 states/eV per cell
Relative energy among the computed polymorphs ... 0 meV per atom
Size of the total moment ... 0.00 μB/f.u.
Volume ... 22.08 Å³/atom

a = 3.1850 Å, b = 3.1023 Å, c = 9.0789 Å
α = 90.00°, β = 100.02°, γ = 90.00°
Positions (direct):
Re 0.0000 0.0000 0.0000
Re 0.4260 0.5000 0.8506
Pb 0.6255 0.5000 0.2532
Br 0.3102 0.0000 0.6169

(12)
Entry from Alexandria: crystalline AcHoAu at its relaxed geometry (PBE-GGA).

Properties
Energy relative to the elements ... -420 meV per atom
Crystal system ... hexagonal
N(E_F) ... 3.8 states/eV per cell
Relative energy among the computed polymorphs ... 174 meV per atom
Size of the total moment ... 0.00 μB/f.u.
Volume ... 32.01 Å³/atom

a = 4.9031 Å, b = 4.9031 Å, c = 4.6132 Å
α = 90.00°, β = 90.00°, γ = 120.00°
Positions (direct):
Ac 0.0000 0.0000 0.0000
Ho 0.6667 0.3333 0.5000
Au 0.3333 0.6667 0.5000